## Li2MnGeO4 (PBE with a Hubbard U)

Data for an optimized crystal structure of Li2MnGeO4.

a b c (Å): 5.434 5.434 5.434
angles (deg): 129.65 129.65 73.97
Sites, in units of the cell vectors:
Li 0.250 0.750 0.500
Li 0.750 0.250 0.500
Mn 0.000 0.000 0.000
Ge 0.500 0.500 0.000
O 0.158 0.602 0.000
O 0.398 0.398 0.556
O 0.602 0.158 0.000
O 0.842 0.842 0.444

Results
calculated volume = 11.60 Å³ per atom
energy = -50.98 eV per cell
space group = No. 121